Crystalline BeCoCl2 at its relaxed geometry. Source: the Alexandria database, functional PBE.

For the density of states at the Fermi level, the calculation gives 3.836 states/eV/f.u. Its total energy is -3.72 eV per atom. The calculation puts the energy above the most stable polymorph in this dataset at 0.94 eV/f.u. The uncorrected formation energy comes out at -0.086 eV per atom. The calculation puts the calculated volume at 17.584 Å³ per atom.

It has space group P4mm (No. 99), with a = 3.132 Å, b = 3.132 Å, c = 7.172 Å, α = 90.00°, β = 90.00° and γ = 90.00°. Symmetry generates all atoms from Be at (0.000, 0.000, 0.000), Co at (0.500, 0.500, 0.899), Cl at (0.000, 0.000, 0.702) and Cl at (0.500, 0.500, 0.200).

=====

Crystalline Be2CoCl at its relaxed geometry. Source: the Alexandria database, functional PBE.

For the density of states at the Fermi level, the calculation gives 1.345 states/eV/f.u. Its total energy is -3.63 eV per atom. The calculation puts the energy above the most stable polymorph in this dataset at 1.99 eV/f.u. The uncorrected formation energy comes out at 0.476 eV per atom. The calculation puts the calculated volume at 11.087 Å³ per atom.

It has space group P4/mmm (No. 123), with a = 3.986 Å, b = 3.986 Å, c = 2.791 Å, α = 90.00°, β = 90.00° and γ = 90.00°. Symmetry generates all atoms from Be at (0.000, 0.500, 0.000), Co at (0.000, 0.000, 0.500) and Cl at (0.500, 0.500, 0.500).

=====

Crystalline BeCoCl2 at its relaxed geometry. Source: the Alexandria database, functional PBE.

For the density of states at the Fermi level, the calculation gives 3.993 states/eV/f.u. Its total energy is -3.41 eV per atom. The calculation puts the energy above the most stable polymorph in this dataset at 2.19 eV/f.u. The uncorrected formation energy comes out at 0.226 eV per atom. The calculation puts the calculated volume at 15.835 Å³ per atom.

It has space group Immm (No. 71), with a = 2.965 Å, b = 6.144 Å, c = 6.954 Å, α = 90.00°, β = 90.00° and γ = 90.00°. Symmetry generates all atoms from Be at (0.000, 0.000, 0.000), Co at (0.000, 0.000, 0.500) and Cl at (0.000, 0.500, 0.277).

=====

Crystalline BeCoCl2 at its relaxed geometry. Source: the Alexandria database, functional PBE.

For the density of states at the Fermi level, the calculation gives 0.829 states/eV/f.u. Its total energy is -3.69 eV per atom. The calculation puts the energy above the most stable polymorph in this dataset at 1.07 eV/f.u. The uncorrected formation energy comes out at -0.055 eV per atom. The calculation puts the calculated volume at 14.860 Å³ per atom.

It has space group R-3m (No. 166, hexagonal axes), with a = 3.1507 Å, b = 3.1507 Å, c = 20.7428 Å, α = 90.00°, β = 90.00° and γ = 120.00°. Symmetry generates all atoms from Be at (0.0000, 0.0000, 0.0000), Co at (0.0000, 0.0000, 0.5000) and Cl at (0.0000, 0.0000, 0.3951).

=====

Crystalline BeCoCl2 at its relaxed geometry. Source: the Alexandria database, functional PBE.

For the density of states at the Fermi level, the calculation gives 3.644 states/eV/f.u. Its total energy is -3.36 eV per atom. The calculation puts the energy above the most stable polymorph in this dataset at 2.38 eV/f.u. The uncorrected formation energy comes out at 0.272 eV per atom. The calculation puts the calculated volume at 16.667 Å³ per atom.

It has space group C2/m (No. 12), with a = 6.307 Å, b = 6.501 Å, c = 4.525 Å, α = 90.00°, β = 134.05° and γ = 90.00°. Symmetry generates all atoms from Be at (0.000, 0.000, 0.000), Co at (0.000, 0.500, 0.000) and Cl at (0.250, 0.250, 0.500).

=====

Crystalline BeCoCl at its relaxed geometry. Source: the Alexandria database, functional PBE.

For the density of states at the Fermi level, the calculation gives 1.647 states/eV/f.u. Its total energy is -4.48 eV per atom. The calculation puts the energy above the most stable polymorph in this dataset at 0.32 eV/f.u. The uncorrected formation energy comes out at -0.254 eV per atom. The calculation puts the calculated volume at 15.410 Å³ per atom.

It has space group P-1 (No. 2), with a = 3.512 Å, b = 3.513 Å, c = 8.864 Å, α = 90.05°, β = 100.80° and γ = 120.00°. Symmetry generates all atoms from Be at (0.150, 0.325, 0.474), Co at (0.416, 0.958, 0.367) and Cl at (0.016, 0.759, 0.789).